This record from Alexandria describes a geometry-optimized YZnInRe2 structure. The functional is GGA-PBE.

Energy of formation from the pure elements, kcal/mol of atoms: 27.90
Total magnetization, μB/f.u.: 0.0
Space group: P4/mmm (123)
DOS at the Fermi energy, states/eV per atom: 1.317

Structure (CIF):
```
data_YZnInRe2
_chemical_formula_sum 'Y1 Zn1 In1 Re2'
_symmetry_space_group_name_H-M 'P 1'
_symmetry_Int_Tables_number 1
_cell_length_a 4.655
_cell_length_b 4.932
_cell_length_c 4.655
_cell_angle_alpha 90.00
_cell_angle_beta 90.00
_cell_angle_gamma 90.00
loop_
_symmetry_equiv_pos_as_xyz
'x,y,z'
loop_
_atom_site_label
_atom_site_fract_x
_atom_site_fract_y
_atom_site_fract_z
In1 0.500 0.500 0.500
Y1 0.000 0.500 0.000
Re1 0.500 0.000 0.000
Re2 0.000 0.000 0.500
Zn1 0.000 0.000 0.000
```


This record from Alexandria describes a geometry-optimized YZnIn2Re structure. The functional is GGA-PBE.

Energy of formation from the pure elements, kcal/mol of atoms: 16.17
Total magnetization, μB/f.u.: 1.4
Space group: P4/mmm (123)
DOS at the Fermi energy, states/eV per atom: 0.612

Structure (CIF):
```
data_YZnIn2Re
_chemical_formula_sum 'Y1 Zn1 In2 Re1'
_symmetry_space_group_name_H-M 'P 1'
_symmetry_Int_Tables_number 1
_cell_length_a 4.906
_cell_length_b 4.897
_cell_length_c 4.906
_cell_angle_alpha 90.00
_cell_angle_beta 90.00
_cell_angle_gamma 90.00
loop_
_symmetry_equiv_pos_as_xyz
'x,y,z'
loop_
_atom_site_label
_atom_site_fract_x
_atom_site_fract_y
_atom_site_fract_z
Re1 0.000 0.500 0.000
In1 0.500 0.000 0.000
Y1 0.500 0.500 0.500
Zn1 0.000 0.000 0.000
In2 0.000 0.000 0.500
```


This record from Alexandria describes a geometry-optimized ZnInRe2 structure. The functional is GGA-PBE.

Energy relative to the lowest polymorph listed for this composition, eV/atom: 0.592
Energy of formation from the pure elements, kcal/mol of atoms: 18.58
Total magnetization, μB/f.u.: 0.0
Space group: P4/mmm (123)
DOS at the Fermi energy, states/eV per atom: 1.040

Structure (CIF):
```
data_ZnInRe2
_chemical_formula_sum 'Zn1 In1 Re2'
_symmetry_space_group_name_H-M 'P 1'
_symmetry_Int_Tables_number 1
_cell_length_a 4.372
_cell_length_b 4.372
_cell_length_c 3.343
_cell_angle_alpha 90.00
_cell_angle_beta 90.00
_cell_angle_gamma 90.00
loop_
_symmetry_equiv_pos_as_xyz
'x,y,z'
loop_
_atom_site_label
_atom_site_fract_x
_atom_site_fract_y
_atom_site_fract_z
Re1 0.000 0.000 0.000
In1 0.000 0.500 0.500
Re2 0.500 0.500 0.000
Zn1 0.500 0.000 0.500
```


This record from Alexandria describes a geometry-optimized ZnIn4Re structure. The functional is GGA-PBE.

Energy of formation from the pure elements, kcal/mol of atoms: 20.56
Total magnetization, μB/f.u.: 0.0
Space group: F-43m (216)
DOS at the Fermi energy, states/eV per atom: 0.315

Structure (CIF):
```
data_ZnIn4Re
_chemical_formula_sum 'Zn1 In4 Re1'
_symmetry_space_group_name_H-M 'P 1'
_symmetry_Int_Tables_number 1
_cell_length_a 5.688
_cell_length_b 5.688
_cell_length_c 5.688
_cell_angle_alpha 60.00
_cell_angle_beta 60.00
_cell_angle_gamma 60.00
loop_
_symmetry_equiv_pos_as_xyz
'x,y,z'
loop_
_atom_site_label
_atom_site_fract_x
_atom_site_fract_y
_atom_site_fract_z
In1 0.375 0.375 0.375
In2 0.874 0.375 0.375
Zn1 0.000 0.000 0.000
In3 0.375 0.874 0.375
Re1 0.750 0.750 0.750
In4 0.375 0.375 0.874
```


This record from Alexandria describes a geometry-optimized ZnInRe2 structure. The functional is GGA-PBE.

Energy relative to the lowest polymorph listed for this composition, eV/atom: 0.316
Energy of formation from the pure elements, kcal/mol of atoms: 12.21
Total magnetization, μB/f.u.: 0.0
Space group: Pmmm (47)
DOS at the Fermi energy, states/eV per atom: 0.678

Structure (CIF):
```
data_ZnInRe2
_chemical_formula_sum 'Zn1 In1 Re2'
_symmetry_space_group_name_H-M 'P 1'
_symmetry_Int_Tables_number 1
_cell_length_a 3.139
_cell_length_b 4.497
_cell_length_c 4.585
_cell_angle_alpha 90.00
_cell_angle_beta 90.00
_cell_angle_gamma 90.00
loop_
_symmetry_equiv_pos_as_xyz
'x,y,z'
loop_
_atom_site_label
_atom_site_fract_x
_atom_site_fract_y
_atom_site_fract_z
Re1 0.500 0.500 0.000
Re2 0.000 0.000 0.000
In1 0.000 0.500 0.500
Zn1 0.500 0.000 0.500
```


This record from Alexandria describes a geometry-optimized ZnInRe2 structure. The functional is GGA-PBE.

Energy relative to the lowest polymorph listed for this composition, eV/atom: 0.466
Energy of formation from the pure elements, kcal/mol of atoms: 15.67
Total magnetization, μB/f.u.: 0.0
Space group: Cmmm (65)
DOS at the Fermi energy, states/eV per atom: 1.152

Structure (CIF):
```
data_ZnInRe2
_chemical_formula_sum 'Zn1 In1 Re2'
_symmetry_space_group_name_H-M 'P 1'
_symmetry_Int_Tables_number 1
_cell_length_a 5.102
_cell_length_b 5.102
_cell_length_c 2.814
_cell_angle_alpha 90.00
_cell_angle_beta 90.00
_cell_angle_gamma 116.70
loop_
_symmetry_equiv_pos_as_xyz
'x,y,z'
loop_
_atom_site_label
_atom_site_fract_x
_atom_site_fract_y
_atom_site_fract_z
Zn1 0.500 0.000 0.500
Re1 0.000 0.000 0.000
Re2 0.500 0.500 0.000
In1 0.000 0.500 0.500
```


This record from Alexandria describes a geometry-optimized ZnIn3Re structure. The functional is GGA-PBE.

Energy relative to the lowest polymorph listed for this composition, eV/atom: 0.000
Energy of formation from the pure elements, kcal/mol of atoms: 13.40
Total magnetization, μB/f.u.: 0.0
Space group: Pm-3m (221)
DOS at the Fermi energy, states/eV per atom: 0.739

Structure (CIF):
```
data_ZnIn3Re
_chemical_formula_sum 'Zn1 In3 Re1'
_symmetry_space_group_name_H-M 'P 1'
_symmetry_Int_Tables_number 1
_cell_length_a 5.261
_cell_length_b 5.261
_cell_length_c 5.261
_cell_angle_alpha 90.00
_cell_angle_beta 90.00
_cell_angle_gamma 90.00
loop_
_symmetry_equiv_pos_as_xyz
'x,y,z'
loop_
_atom_site_label
_atom_site_fract_x
_atom_site_fract_y
_atom_site_fract_z
In1 0.500 0.000 0.000
Re1 0.000 0.000 0.000
Zn1 0.500 0.500 0.500
In2 0.000 0.000 0.500
In3 0.000 0.500 0.000
```


This record from Alexandria describes a geometry-optimized ZnInRe2 structure. The functional is GGA-PBE.

Energy relative to the lowest polymorph listed for this composition, eV/atom: 0.421
Energy of formation from the pure elements, kcal/mol of atoms: 14.62
Total magnetization, μB/f.u.: 0.0
Space group: I4/mmm (139)
DOS at the Fermi energy, states/eV per atom: 1.058

Structure (CIF):
```
data_ZnInRe2
_chemical_formula_sum 'Zn1 In1 Re2'
_symmetry_space_group_name_H-M 'P 1'
_symmetry_Int_Tables_number 1
_cell_length_a 5.158
_cell_length_b 5.158
_cell_length_c 5.158
_cell_angle_alpha 136.09
_cell_angle_beta 136.09
_cell_angle_gamma 63.84
loop_
_symmetry_equiv_pos_as_xyz
'x,y,z'
loop_
_atom_site_label
_atom_site_fract_x
_atom_site_fract_y
_atom_site_fract_z
Re1 0.500 0.500 0.000
In1 0.750 0.250 0.500
Re2 0.000 0.000 0.000
Zn1 0.250 0.750 0.500
```